one.
Below is La2SF2 after structural relaxation, with properties calculated at the GGA-PBE level.

Results
**M_tot**: 0.0586 μB/atom
**Calculated volume**: 18.02 Å³ per atom

abc: 7.3417 7.3417 3.3440
angles: 90.00 90.00 90.00
Atoms (fractional coordinates):
La 0.1872 0.3128 0.0000
La 0.3128 0.8128 0.0000
La 0.6872 0.1872 0.0000
La 0.8128 0.6872 0.0000
S 0.0000 0.0000 0.5000
S 0.5000 0.5000 0.5000
F 0.1155 0.6155 0.5000
F 0.3845 0.1155 0.5000
F 0.6155 0.8845 0.5000
F 0.8845 0.3845 0.5000


two.
Below is La2SF2 after structural relaxation, with properties calculated at the GGA-PBE level.

Results
**M_tot**: 0.0000 μB/atom
**Calculated volume**: 19.82 Å³ per atom

abc: 5.4704 5.4704 5.4704
angles: 127.85 127.85 76.87
Atoms (fractional coordinates):
La 0.2500 0.7500 0.5000
La 0.7500 0.2500 0.5000
S 0.0000 0.0000 0.0000
F 0.3505 0.3505 0.0000
F 0.6495 0.6495 0.0000


Ordering by calculated energy gives the sequence two, one, with the first entry being the most stable.


one.
Below is LaSbF3 after structural relaxation, with properties calculated at the GGA-PBE level.

Results
**M_tot**: 0.1358 μB/atom
**Calculated volume**: 20.94 Å³ per atom

abc: 4.7131 4.7131 4.7131
angles: 90.00 90.00 90.00
Atoms (fractional coordinates):
La 0.0000 0.0000 0.0000
Sb 0.5000 0.5000 0.5000
F 0.0000 0.5000 0.5000
F 0.5000 0.0000 0.5000
F 0.5000 0.5000 0.0000


two.
Below is LaSbF3 after structural relaxation, with properties calculated at the GGA-PBE level.

Results
**M_tot**: 0.6000 μB/atom
**Calculated volume**: 22.13 Å³ per atom

abc: 4.8010 4.8010 4.8010
angles: 90.00 90.00 90.00
Atoms (fractional coordinates):
La 0.0000 0.0000 0.0000
Sb 0.5000 0.5000 0.5000
F 0.0000 0.0000 0.5000
F 0.0000 0.5000 0.0000
F 0.5000 0.0000 0.0000


Ordering by calculated energy gives the sequence two, one, with the first entry being the most stable.


one.
Below is LaSb3F after structural relaxation, with properties calculated at the GGA-PBE level.

Results
**M_tot**: 0.0000 μB/atom
**Calculated volume**: 25.13 Å³ per atom

abc: 5.0088 5.0088 5.0088
angles: 90.00 90.00 90.00
Atoms (fractional coordinates):
La 0.0000 0.0000 0.0000
Sb 0.0000 0.5000 0.5000
Sb 0.5000 0.0000 0.5000
Sb 0.5000 0.5000 0.0000
F 0.5000 0.5000 0.5000


two.
Below is LaSb3F after structural relaxation, with properties calculated at the GGA-PBE level.

Results
**M_tot**: 0.0481 μB/atom
**Calculated volume**: 44.87 Å³ per atom

abc: 6.0764 6.0764 6.0764
angles: 90.00 90.00 90.00
Atoms (fractional coordinates):
La 0.0000 0.0000 0.0000
Sb 0.0000 0.0000 0.5000
Sb 0.0000 0.5000 0.0000
Sb 0.5000 0.0000 0.0000
F 0.5000 0.5000 0.5000


Ordering by calculated energy gives the sequence one, two, with the first entry being the most stable.


one.
Below is LaScF2 after structural relaxation, with properties calculated at the GGA-PBE level.

Results
**M_tot**: 0.0000 μB/atom
**Calculated volume**: 19.03 Å³ per atom

abc: 6.6900 6.6900 6.6900
angles: 32.33 32.33 32.33
Atoms (fractional coordinates):
La 0.0000 0.0000 0.0000
Sc 0.5000 0.5000 0.5000
F 0.1345 0.1345 0.1345
F 0.8655 0.8655 0.8655


two.
Below is LaScF2 after structural relaxation, with properties calculated at the GGA-PBE level.

Results
**M_tot**: 0.0000 μB/atom
**Calculated volume**: 17.34 Å³ per atom

abc: 4.6116 4.6116 4.6116
angles: 60.00 60.00 60.00
Atoms (fractional coordinates):
La 0.0000 0.0000 0.0000
Sc 0.5000 0.5000 0.5000
F 0.2500 0.2500 0.2500
F 0.7500 0.7500 0.7500


Ordering by calculated energy gives the sequence one, two, with the first entry being the most stable.